CuAg | PBE-GGA | optimized geometry

Summary:
Raw total energy   -3.16 eV/atom
Crystal system   orthorhombic
ΔE_f   10.4 kJ per mole of atoms

Cell: 2.746 3.850 23.081 Å, 90.00 90.00 90.00°
Element x y z (fractional)
Cu 0.250 0.250 0.029
Cu 0.250 0.250 0.138
Cu 0.250 0.250 0.819
Cu 0.250 0.250 0.922
Cu 0.750 0.750 0.078
Cu 0.750 0.750 0.181
Cu 0.750 0.750 0.862
Cu 0.750 0.750 0.971
Ag 0.250 0.750 0.324
Ag 0.250 0.750 0.465
Ag 0.250 0.750 0.606
Ag 0.250 0.750 0.746
Ag 0.750 0.250 0.254
Ag 0.750 0.250 0.394
Ag 0.750 0.250 0.535
Ag 0.750 0.250 0.676